[1]
Density functional theory data (PBE-GGA) for a geometry-optimized PmCd4Pd structure.

Results
The total magnetization comes out at 0.00 μB per formula unit. Its formation energy from the elements is -0.27 eV per atom. Its space group is C2/m.

Cell lengths 5.5915, 7.4638, 7.8549 Å; angles 118.37, 103.63, 90.00 degrees
Element x y z (fractional)
Pm1 0.1413 0.2165 0.4331
Pm2 0.8587 0.7835 0.5669
Cd1 0.7349 0.3461 0.6921
Cd2 0.5688 0.3114 0.2415
Cd3 0.0000 0.2063 0.0000
Cd4 0.4312 0.0699 0.7585
Cd5 0.2651 0.6539 0.3079
Cd6 0.4312 0.6886 0.7585
Cd7 0.0000 0.7937 0.0000
Cd8 0.5688 0.9301 0.2415
Pd1 0.7537 0.5648 0.1296
Pd2 0.2463 0.4352 0.8704

[2]
Density functional theory data (PBE-GGA) for a geometry-optimized Pm6CdPd2 structure.

Results
The total magnetization comes out at 0.00 μB per formula unit. Its formation energy from the elements is -0.43 eV per atom. Its space group is Immm.

Cell lengths 8.7881, 8.7881, 8.7881 Å; angles 104.97, 110.22, 113.33 degrees
Element x y z (fractional)
Pm1 0.5303 0.7116 0.8187
Pm2 0.4697 0.2884 0.1813
Pm3 0.1071 0.2884 0.8187
Pm4 0.8929 0.7116 0.1813
Pm5 0.8052 0.7621 0.5673
Pm6 0.1948 0.2379 0.4327
Pm7 0.1948 0.7621 0.9569
Pm8 0.8052 0.2379 0.0431
Pm9 0.6981 0.3723 0.6742
Pm10 0.3019 0.6277 0.3258
Pm11 0.3019 0.9761 0.6742
Pm12 0.6981 0.0239 0.3258
Cd1 0.0000 0.5000 0.5000
Cd2 0.0000 0.0000 0.0000
Pd1 0.5000 0.3700 0.8700
Pd2 0.5000 0.6300 0.1300
Pd3 0.6537 0.0000 0.6537
Pd4 0.3463 0.0000 0.3463